First-principles (PBE with a Hubbard U) data for an optimized crystal structure of PuNiB2O8, as listed in the Alexandria database.

Unit cell a=5.1482 b=5.1482 c=5.8588 alpha=90.00 beta=90.00 gamma=120.00
Last column: nearest neighbours and their distance in Å.
Fractional coordinates of all 12 atoms:
1 Pu 0.0000 0.0000 0.0000  6 O 2.07
2 Ni 0.0000 0.0000 0.5000  6 O 2.21
3 B 0.6667 0.3333 0.3143  4 O 1.41-1.49
4 B 0.3333 0.6667 0.6857  4 O 1.41-1.49
5 O 0.8255 0.1745 0.2333  1 B 1.49
6 O 0.8255 0.6510 0.2333  1 B 1.49
7 O 0.3490 0.1745 0.2333  1 B 1.49
8 O 0.6510 0.8255 0.7667  1 B 1.49
9 O 0.3333 0.6667 0.4453  1 B 1.41
10 O 0.6667 0.3333 0.5547  1 B 1.41
11 O 0.1745 0.8255 0.7667  1 B 1.49
12 O 0.1745 0.3490 0.7667  1 B 1.49

Calculated values
- final energy (eV per cell) = -89.26
- magnetic moment (Bohr magnetons per cell) = 2.000
- space group = P-3m1 (164)
- density of states at the Fermi level (states/eV per cell) = 7.1

***

First-principles (PBE with a Hubbard U) data for an optimized crystal structure of ReNiB2O, as listed in the Alexandria database.

Unit cell a=3.7194 b=3.4709 c=3.7194 alpha=90.00 beta=90.00 gamma=90.00
Last column: nearest neighbours and their distance in Å.
Fractional coordinates of all 5 atoms:
1 Re 0.5000 0.5000 0.5000  8 B 2.54, 4 Ni 2.63
2 B 0.0000 0.0000 0.5000  2 O 1.86
3 B 0.5000 0.0000 0.0000  2 O 1.86
4 O 0.0000 0.0000 0.0000  2 Ni 1.74, 4 B 1.86
5 Ni 0.0000 0.5000 0.0000  2 O 1.74

Calculated values
- final energy (eV per cell) = -28.19
- magnetic moment (Bohr magnetons per cell) = 0.537
- space group = P4/mmm (123)
- density of states at the Fermi level (states/eV per cell) = 2.8

***

First-principles (PBE with a Hubbard U) data for an optimized crystal structure of NiBS2O, as listed in the Alexandria database.

Unit cell a=5.1783 b=2.5664 c=5.1783 alpha=90.00 beta=90.00 gamma=90.00
Last column: nearest neighbours and their distance in Å.
Fractional coordinates of all 5 atoms:
1 Ni 0.5000 0.5000 0.5000  2 Ni 2.57
2 S 0.0000 0.0000 0.5000  2 S 2.57, 2 B 2.59
3 S 0.5000 0.0000 0.0000  2 S 2.57, 2 B 2.59
4 B 0.0000 0.0000 0.0000  2 O 1.28
5 O 0.0000 0.5000 0.0000  2 B 1.28

Calculated values
- final energy (eV per cell) = -22.71
- magnetic moment (Bohr magnetons per cell) = 1.182
- space group = P4/mmm (123)
- density of states at the Fermi level (states/eV per cell) = 1.7

***

First-principles (PBE with a Hubbard U) data for an optimized crystal structure of NiBSbO5, as listed in the Alexandria database.

Unit cell a=5.1139 b=5.1139 c=7.1786 alpha=105.55 beta=105.55 gamma=103.10
Last column: nearest neighbours and their distance in Å.
Fractional coordinates of all 16 atoms:
1 Ni 0.3525 0.6475 0.2500  3 O 1.96-2.04
2 Ni 0.6475 0.3525 0.7500  3 O 1.96-2.04
3 B 0.6842 0.3158 0.2500  4 O 1.49-1.51
4 B 0.3158 0.6842 0.7500  4 O 1.49-1.51
5 Sb 0.0000 0.0000 0.5000  6 O 1.99-2.01
6 Sb 0.0000 0.0000 0.0000  6 O 1.99-2.01
7 O 0.1073 0.8927 0.2500  1 Ni 1.96, 2 Sb 1.99
8 O 0.8927 0.1073 0.7500  1 Ni 1.96, 2 Sb 1.99
9 O 0.9113 0.3334 0.1556  1 B 1.49
10 O 0.0887 0.6666 0.8444  1 B 1.49
11 O 0.6666 0.0887 0.3444  1 B 1.49
12 O 0.3334 0.9113 0.6556  1 B 1.49
13 O 0.7258 0.6004 0.4068  1 B 1.51
14 O 0.2742 0.3996 0.5932  1 B 1.51
15 O 0.3996 0.2742 0.0932  1 B 1.51
16 O 0.6004 0.7258 0.9068  1 B 1.51

Calculated values
- final energy (eV per cell) = -101.08
- magnetic moment (Bohr magnetons per cell) = 3.964
- space group = C2/c (15)
- density of states at the Fermi level (states/eV per cell) = 0.0